No. 1
The following is a GGA-PBE calculation of a relaxed structure of GdLuCoAg, from Alexandria.

```
GdLuCoAg
1.0
4.918 0.000 0.000
2.459 4.259 0.000
2.459 1.420 4.015
Gd Lu Co Ag
1 1 1 1
Direct
0.000 0.000 0.000
0.500 0.500 0.500
0.250 0.250 0.250
0.750 0.750 0.750
```

Properties
Formation energy from the elements: -0.184 eV per atom
VASP energy: -7.32 eV per atom


No. 2
The following is a GGA-PBE calculation of a relaxed structure of SrLa2MoN4, from Alexandria.

```
SrLa2MoN4
1.0
3.624 0.000 0.000
-1.812 6.255 0.000
0.000 0.000 12.706
Sr La Mo N
2 4 2 8
Direct
0.095 0.191 0.750
0.905 0.809 0.250
0.369 0.739 0.538
0.631 0.261 0.038
0.631 0.261 0.462
0.369 0.739 0.962
0.827 0.655 0.750
0.173 0.345 0.250
0.263 0.526 0.130
0.737 0.474 0.630
0.737 0.474 0.870
0.263 0.526 0.370
0.000 0.000 0.500
0.000 0.000 0.000
0.403 0.807 0.750
0.597 0.193 0.250
```

Properties
VASP energy: -7.87 eV per atom
E_form (uncorrected): -0.914 eV/atom


No. 3
The following is a GGA-PBE calculation of a relaxed structure of Li2Ni2Ag, from Alexandria.

```
Li2Ni2Ag
1.0
3.409 0.000 0.000
0.000 3.409 0.000
1.705 1.705 6.052
Ni Ag Li
2 1 2
Direct
0.403 0.403 0.195
0.597 0.597 0.805
0.000 0.000 0.000
0.750 0.250 0.500
0.250 0.750 0.500
```

Properties
Formation energy from the elements: 0.395 eV per atom
VASP energy: -3.25 eV per atom
Offset from the most stable computed form: 260 meV per atom


No. 4
The following is a GGA-PBE calculation of a relaxed structure of ThNi5Ge2Pd, from Alexandria.

```
ThNi5Ge2Pd
1.0
-0.872 3.189 2.030
-2.977 -1.864 1.649
5.400 -2.750 6.640
Th Ni Ge Pd
1 5 2 1
Direct
0.000 0.000 0.500
0.000 0.500 0.277
0.500 0.000 0.277
0.000 0.500 0.723
0.500 0.000 0.723
0.500 0.500 0.500
0.500 0.500 0.132
0.500 0.500 0.868
0.000 0.000 0.000
```

Properties
Formation energy from the elements: -0.206 eV per atom
VASP energy: -5.85 eV per atom


No. 5
The following is a GGA-PBE calculation of a relaxed structure of KRe2Tc, from Alexandria.

```
KRe2Tc
1.0
7.589 0.000 0.000
0.000 7.589 0.000
3.795 3.795 2.816
Re K Tc
4 2 2
Direct
0.689 0.125 0.250
0.061 0.625 0.250
0.375 0.311 0.750
0.875 0.939 0.750
0.500 0.500 0.000
0.250 0.750 0.500
0.000 0.000 0.000
0.750 0.250 0.500
```

Properties
Formation energy from the elements: 1.737 eV per atom
VASP energy: -7.35 eV per atom
Offset from the most stable computed form: 1017 meV per atom


No. 6
The following is a GGA-PBE calculation of a relaxed structure of Dy4P6Ir7, from Alexandria.

```
Dy4P6Ir7
1.0
-5.807 -3.953 1.177
3.742 -2.817 -5.366
4.015 0.131 5.882
Dy P Ir
4 6 7
Direct
0.500 0.000 0.000
0.500 0.500 0.500
0.000 0.500 0.000
0.000 0.000 0.500
0.676 0.000 0.676
0.676 0.676 0.000
0.000 0.324 0.324
0.324 0.000 0.324
0.324 0.324 0.000
0.000 0.676 0.676
0.750 0.500 0.250
0.250 0.750 0.500
0.500 0.750 0.250
0.750 0.250 0.500
0.250 0.500 0.750
0.500 0.250 0.750
0.000 0.000 0.000
```

Properties
Formation energy from the elements: -0.947 eV per atom
VASP energy: -7.59 eV per atom